Compound: Cs2MnSbO6
Source: the Alexandria database
Functional: GGA+U
Structure: optimized geometry

```
data_Cs2MnSbO6
_space_group_name_H-M_alt 'P 1'
_space_group_IT_number 1
_space_group_name_Hall 'P 1'
_cell_length_a 5.316
_cell_length_b 6.640
_cell_length_c 6.640
_cell_angle_alpha 120.00
_cell_angle_beta 90.00
_cell_angle_gamma 90.00
loop_
_atom_site_label
_atom_site_type_symbol
_atom_site_fract_x
_atom_site_fract_y
_atom_site_fract_z
Cs1 Cs 0.806 0.667 0.333
Sb1 Sb 0.500 0.000 0.000
Cs2 Cs 0.194 0.333 0.667
O1 O 0.760 0.129 0.258
O2 O 0.760 0.742 0.871
O3 O 0.240 0.871 0.742
O4 O 0.240 0.871 0.129
O5 O 0.240 0.258 0.129
Mn1 Mn 0.000 0.000 0.000
O6 O 0.760 0.129 0.871
```

The calculation puts the total moment at 4.040 μB/f.u. Its calculated total energy is -0.2080 hartree per atom.